Crystalline Th2Zr2Sc7 at its relaxed geometry. Source: Alexandria, functional GGA-PBE.

Cell: 3.3242 10.2591 10.2591 Å, 62.19 71.09 71.09°
Closest atoms and distances in Å follow each position.
Sites, in units of the cell vectors:
1 Th 0.0473 0.2264 0.2264  6 Sc 3.25-3.41, 2 Th 3.32
2 Sc 0.1811 0.4093 0.4093  3 Sc 2.95, 4 Zr 3.19-3.20
3 Sc 0.3149 0.6017 0.0835  2 Sc 2.95-3.02, 2 Zr 3.08-3.09, 2 Th 3.25
4 Sc 0.3149 0.0835 0.6017  2 Sc 2.95-3.02, 2 Zr 3.08-3.09, 2 Th 3.25
5 Zr 0.5000 0.2834 0.7167  10 Sc 3.08-3.43, 2 Zr 3.32
6 Th 0.9527 0.7736 0.7736  6 Sc 3.25-3.41, 2 Th 3.32
7 Zr 0.5000 0.7166 0.2833  10 Sc 3.08-3.43, 2 Zr 3.32
8 Sc 0.6851 0.9165 0.3983  2 Sc 2.95-3.02, 2 Zr 3.08-3.09, 2 Th 3.25
9 Sc 0.8189 0.5907 0.5907  3 Sc 2.95, 4 Zr 3.19-3.20
10 Sc 0.0000 0.0000 0.0000  6 Sc 3.32-3.61, 4 Zr 3.43
11 Sc 0.6851 0.3983 0.9165  2 Sc 2.95-3.02, 2 Zr 3.08-3.09, 2 Th 3.25

Output
Space-group type = Cmmm (65)
Spin magnetization = 0.000 μB/cell
Excess energy over the best structure of this formula in the dataset = 0.000 eV per atom
E_form = 13 kJ per mole of atoms